Entry from Alexandria: a geometry-optimized GdUOs structure (PBE).

POSCAR file:
```
GdUOs
1.0
-2.162 0.823 -2.045
-3.257 0.133 3.498
2.513 3.923 -1.078
Gd U Os
1 1 1
direct
0.654 0.333 0.667
0.311 0.667 0.333
0.035 0.000 0.000
```

Summary:
The crystal system is trigonal. The formation energy comes out at 0.202 eV per atom. The calculation puts the energy at -11.998 eV/atom. The distance to the lowest polymorph of the same formula is 197 meV per atom. The space group is P3m1.